No. 1
The following is a DFT calculation (PBEsol) of an optimized crystal structure of ScTaSi2.

## Properties
density of states at the Fermi level = 0.22 states/eV per atom
formation energy from raw total energies = -727 meV/atom
M_tot = 0.00 μB/cell
volume = 63.1 Å³ per cell
space-group type = Amm2 (38)

Cell: 3.590 3.668 5.118 Å, 90.00 110.53 90.00°
Fractional positions:
Si 0.204 0.000 0.407
Si 0.045 0.500 0.090
Ta 0.480 0.000 0.960
Sc 0.771 0.500 0.543

***

No. 2
The following is a DFT calculation (PBEsol) of an optimized crystal structure of Sc2TaSi2.

## Properties
density of states at the Fermi level = 0.73 states/eV per atom
formation energy from raw total energies = -701 meV/atom
M_tot = 0.00 μB/cell
volume = 172.7 Å³ per cell
space-group type = P4/mbm (127)

Cell: 3.703 6.830 6.830 Å, 90.00 90.00 90.00°
Fractional positions:
Sc 0.500 0.675 0.825
Sc 0.500 0.825 0.325
Sc 0.500 0.325 0.175
Sc 0.500 0.175 0.675
Ta 0.000 0.500 0.500
Ta 0.000 0.000 0.000
Si 0.000 0.128 0.372
Si 0.000 0.372 0.872
Si 0.000 0.628 0.128
Si 0.000 0.872 0.628

***

No. 3
The following is a DFT calculation (PBEsol) of an optimized crystal structure of Sc2TaSi.

## Properties
density of states at the Fermi level = 1.00 states/eV per atom
formation energy from raw total energies = -226 meV/atom
M_tot = 0.00 μB/cell
volume = 71.5 Å³ per cell
space-group type = I-4m2 (119)

Cell: 4.064 4.064 5.198 Å, 113.01 113.01 90.00°
Fractional positions:
Si 0.500 0.500 0.000
Sc 0.750 0.250 0.500
Sc 0.000 0.000 0.000
Ta 0.250 0.750 0.500

***

No. 4
The following is a DFT calculation (PBEsol) of an optimized crystal structure of ScTa2Si2.

## Properties
density of states at the Fermi level = 0.39 states/eV per atom
formation energy from raw total energies = -680 meV/atom
M_tot = 0.00 μB/cell
volume = 159.8 Å³ per cell
space-group type = P4/mbm (127)

Cell: 3.421 6.834 6.834 Å, 90.00 90.00 90.00°
Fractional positions:
Sc 0.000 0.500 0.500
Sc 0.000 0.000 0.000
Ta 0.500 0.331 0.169
Ta 0.500 0.169 0.669
Ta 0.500 0.669 0.831
Ta 0.500 0.831 0.331
Si 0.000 0.874 0.626
Si 0.000 0.126 0.374
Si 0.000 0.374 0.874
Si 0.000 0.626 0.126

***

No. 5
The following is a DFT calculation (PBEsol) of an optimized crystal structure of Sc2TaSi.

## Properties
density of states at the Fermi level = 1.28 states/eV per atom
formation energy from raw total energies = -235 meV/atom
M_tot = 0.00 μB/cell
volume = 70.9 Å³ per cell
space-group type = P4/mmm (123)

Cell: 4.138 4.140 4.140 Å, 90.00 90.00 90.00°
Fractional positions:
Sc 0.000 0.500 0.000
Sc 0.000 0.000 0.500
Si 0.500 0.500 0.500
Ta 0.500 0.000 0.000

***

No. 6
The following is a DFT calculation (PBEsol) of an optimized crystal structure of ScTaSi2.

## Properties
density of states at the Fermi level = 0.28 states/eV per atom
formation energy from raw total energies = -185 meV/atom
M_tot = 0.00 μB/cell
volume = 138.5 Å³ per cell
space-group type = I-42d (122)

Cell: 5.667 5.699 5.699 Å, 75.69 60.18 60.18°
Fractional positions:
Ta 0.000 0.000 0.000
Ta 0.750 0.500 0.500
Si 0.115 0.010 0.510
Si 0.875 0.490 0.010
Si 0.635 0.990 0.490
Si 0.375 0.510 0.990
Sc 0.500 0.000 0.000
Sc 0.250 0.500 0.500

***

No. 7
The following is a DFT calculation (PBEsol) of an optimized crystal structure of Tb2Sc3Si4.

## Properties
density of states at the Fermi level = 0.87 states/eV per atom
formation energy from raw total energies = -890 meV/atom
M_tot = 0.00 μB/cell
volume = 713.1 Å³ per cell
space-group type = Pnma (62)

Cell: 7.033 7.323 13.845 Å, 90.00 90.00 90.00°
Fractional positions:
Sc 0.330 0.176 0.375
Sc 0.337 0.003 0.750
Sc 0.663 0.997 0.250
Sc 0.330 0.176 0.125
Sc 0.170 0.676 0.625
Sc 0.163 0.503 0.250
Sc 0.670 0.824 0.875
Sc 0.170 0.676 0.875
Sc 0.830 0.324 0.375
Sc 0.837 0.497 0.750
Sc 0.670 0.824 0.625
Sc 0.830 0.324 0.125
Tb 0.489 0.675 0.404
Tb 0.011 0.175 0.904
Tb 0.989 0.825 0.096
Tb 0.011 0.175 0.596
Tb 0.989 0.825 0.404
Tb 0.511 0.325 0.596
Tb 0.511 0.325 0.904
Tb 0.489 0.675 0.096
Si 0.657 0.036 0.039
Si 0.966 0.885 0.750
Si 0.843 0.536 0.961
Si 0.466 0.615 0.750
Si 0.714 0.127 0.750
Si 0.286 0.873 0.250
Si 0.343 0.964 0.539
Si 0.343 0.964 0.961
Si 0.157 0.464 0.039
Si 0.214 0.373 0.750
Si 0.157 0.464 0.461
Si 0.534 0.385 0.250
Si 0.034 0.115 0.250
Si 0.786 0.627 0.250
Si 0.657 0.036 0.461
Si 0.843 0.536 0.539

***

No. 8
The following is a DFT calculation (PBEsol) of an optimized crystal structure of TbScSi2.

## Properties
density of states at the Fermi level = 0.57 states/eV per atom
formation energy from raw total energies = -868 meV/atom
M_tot = 0.00 μB/cell
volume = 78.0 Å³ per cell
space-group type = Amm2 (38)

Cell: 3.725 4.114 5.492 Å, 112.00 90.00 90.00°
Fractional positions:
Si 0.000 0.424 0.847
Si 0.500 0.579 0.159
Tb 0.500 0.859 0.717
Sc 0.000 0.138 0.276

***

No. 9
The following is a DFT calculation (PBEsol) of an optimized crystal structure of ScSiTc2.

## Properties
density of states at the Fermi level = 0.71 states/eV per atom
formation energy from raw total energies = -159 meV/atom
M_tot = 0.00 μB/cell
volume = 59.6 Å³ per cell
space-group type = Cmmm (65)

Cell: 2.828 2.828 7.999 Å, 90.00 90.00 111.38°
Fractional positions:
Tc 0.000 0.000 0.223
Tc 0.000 0.000 0.777
Sc 0.500 0.500 0.500
Si 0.500 0.500 0.000

***

No. 10
The following is a DFT calculation (PBEsol) of an optimized crystal structure of Sc2SiTc.

## Properties
density of states at the Fermi level = 1.05 states/eV per atom
formation energy from raw total energies = 232 meV/atom
M_tot = 0.00 μB/cell
volume = 77.5 Å³ per cell
space-group type = R-3m (166)

Cell: 3.088 3.088 9.548 Å, 80.69 80.69 60.00°
Fractional positions:
Sc 0.903 0.903 0.292
Sc 0.097 0.097 0.708
Tc 0.500 0.500 0.500
Si 0.000 0.000 0.000

***

No. 11
The following is a DFT calculation (PBEsol) of an optimized crystal structure of ScSiTc2.

## Properties
density of states at the Fermi level = 0.77 states/eV per atom
formation energy from raw total energies = -409 meV/atom
M_tot = 0.00 μB/cell
volume = 58.0 Å³ per cell
space-group type = Imm2 (44)

Cell: 3.076 4.166 5.213 Å, 113.55 107.16 90.00°
Fractional positions:
Tc 0.999 0.499 0.998
Tc 0.738 0.738 0.475
Sc 0.495 0.995 0.991
Si 0.268 0.268 0.536

***

No. 12
The following is a DFT calculation (PBEsol) of an optimized crystal structure of ScSiTe2.

## Properties
density of states at the Fermi level = 0.37 states/eV per atom
formation energy from raw total energies = -494 meV/atom
M_tot = 0.00 μB/cell
volume = 104.4 Å³ per cell
space-group type = Imm2 (44)

Cell: 3.757 3.787 7.811 Å, 104.03 103.92 90.00°
Fractional positions:
Te 0.016 0.016 0.031
Te 0.251 0.751 0.502
Si 0.797 0.297 0.595
Sc 0.436 0.436 0.872

***

Which formula does entry 5 have? Sc2TaSi